Computed, not measured: a relaxed Cs2ZrPb crystal at the PBE-GGA level of DFT.

For the energy above the most stable polymorph in this dataset, the calculation gives 408 meV/atom. Its total magnetization is 2.074 μB/f.u. Its volume is 44.627 A^3/atom. Its formation energy is 100.6 kJ per mole of atoms. Its total energy is -0.08996 Ha/atom.

Unit cell a=8.9380 b=8.9380 c=8.9380 alpha=90.00 beta=90.00 gamma=90.00
Positions (direct):
Cs 0.2500 0.2500 0.2500
Cs 0.2500 0.2500 0.7500
Cs 0.2500 0.7500 0.2500
Cs 0.2500 0.7500 0.7500
Cs 0.7500 0.2500 0.2500
Cs 0.7500 0.2500 0.7500
Cs 0.7500 0.7500 0.2500
Cs 0.7500 0.7500 0.7500
Zr 0.0000 0.0000 0.0000
Zr 0.0000 0.5000 0.5000
Zr 0.5000 0.0000 0.5000
Zr 0.5000 0.5000 0.0000
Pb 0.0000 0.0000 0.5000
Pb 0.0000 0.5000 0.0000
Pb 0.5000 0.0000 0.0000
Pb 0.5000 0.5000 0.5000



Computed, not measured: a relaxed CsZrPb2 crystal at the PBE-GGA level of DFT.

For the energy above the most stable polymorph in this dataset, the calculation gives 341 meV/atom. Its total magnetization is 0.000 μB/f.u. Its volume is 52.823 A^3/atom. Its formation energy is 28.4 kJ per mole of atoms. Its total energy is -0.14370 Ha/atom.

Unit cell a=6.7465 b=6.7465 c=18.5691 alpha=90.00 beta=90.00 gamma=90.00
Positions (direct):
Cs 0.0000 0.0000 0.0000
Cs 0.0000 0.5000 0.2500
Cs 0.5000 0.0000 0.7500
Cs 0.5000 0.5000 0.5000
Zr 0.0000 0.0000 0.5000
Zr 0.0000 0.5000 0.7500
Zr 0.5000 0.0000 0.2500
Zr 0.5000 0.5000 0.0000
Pb 0.0037 0.2500 0.6250
Pb 0.2500 0.5037 0.8750
Pb 0.2500 0.9963 0.3750
Pb 0.4963 0.2500 0.1250
Pb 0.5037 0.7500 0.1250
Pb 0.7500 0.0037 0.3750
Pb 0.7500 0.4963 0.8750
Pb 0.9963 0.7500 0.6250



Computed, not measured: a relaxed Cs2ZrPb crystal at the PBE-GGA level of DFT.

For the energy above the most stable polymorph in this dataset, the calculation gives 0 meV/atom. Its total magnetization is 1.944 μB/f.u. Its volume is 72.845 A^3/atom. Its formation energy is 61.2 kJ per mole of atoms. Its total energy is -0.10496 Ha/atom.

Unit cell a=14.2568 b=14.2568 c=5.7342 alpha=90.00 beta=90.00 gamma=90.00
Positions (direct):
Cs 0.0931 0.2500 0.1250
Cs 0.2500 0.5931 0.3750
Cs 0.2500 0.9069 0.8750
Cs 0.4069 0.2500 0.6250
Cs 0.5931 0.7500 0.6250
Cs 0.7500 0.0931 0.8750
Cs 0.7500 0.4069 0.3750
Cs 0.9069 0.7500 0.1250
Zr 0.0000 0.0000 0.5000
Zr 0.0000 0.5000 0.7500
Zr 0.5000 0.0000 0.2500
Zr 0.5000 0.5000 0.0000
Pb 0.0000 0.0000 0.0000
Pb 0.0000 0.5000 0.2500
Pb 0.5000 0.0000 0.7500
Pb 0.5000 0.5000 0.5000